No. 1
VASP calculation (PBE-GGA) on K2RbTaV after structural relaxation.

a = 6.389 Å, b = 6.455 Å, c = 6.389 Å
α = 90.00°, β = 90.00°, γ = 90.00°
Sites, in units of the cell vectors:
K (0.000, 0.000, 0.500)
K (0.500, 0.000, 0.000)
Ta (0.500, 0.500, 0.500)
V (0.000, 0.000, 0.000)
Rb (0.000, 0.500, 0.000)

Computed properties:
V = 52.7 A^3/atom
calculated total energy = -2.57 eV per atom
DFT formation energy = 11.3 eV per formula unit
calculated density = 2.49 g cm⁻³
DOS at the Fermi energy = 2.296 states/eV/atom

=====

No. 2
VASP calculation (PBE-GGA) on KRb2TaW after structural relaxation.

a = 5.366 Å, b = 5.963 Å, c = 5.366 Å
α = 90.00°, β = 90.00°, γ = 90.00°
Sites, in units of the cell vectors:
Ta (0.000, 0.500, 0.000)
Rb (0.500, 0.000, 0.000)
Rb (0.000, 0.000, 0.500)
W (0.500, 0.500, 0.500)
K (0.000, 0.000, 0.000)

Computed properties:
V = 34.3 A^3/atom
calculated total energy = -2.54 eV per atom
DFT formation energy = 15.1 eV per formula unit
calculated density = 5.56 g cm⁻³
DOS at the Fermi energy = 1.651 states/eV/atom

=====

No. 3
VASP calculation (PBE-GGA) on K3RbTc after structural relaxation.

a = 6.765 Å, b = 6.765 Å, c = 6.765 Å
α = 90.00°, β = 90.00°, γ = 90.00°
Sites, in units of the cell vectors:
K (0.500, 0.000, 0.000)
K (0.000, 0.500, 0.000)
K (0.000, 0.000, 0.500)
Rb (0.500, 0.500, 0.500)
Tc (0.000, 0.000, 0.000)

Computed properties:
V = 61.9 A^3/atom
calculated total energy = -1.92 eV per atom
DFT formation energy = 5.0 eV per formula unit
calculated density = 1.61 g cm⁻³
offset from the most stable computed form = 0.00 kJ/mol of atoms
DOS at the Fermi energy = 2.247 states/eV/atom

=====

No. 4
VASP calculation (PBE-GGA) on K2RbTc after structural relaxation.

a = 5.503 Å, b = 5.503 Å, c = 14.001 Å
α = 78.67°, β = 78.67°, γ = 90.00°
Sites, in units of the cell vectors:
K (0.875, 0.903, 0.750)
K (0.097, 0.625, 0.250)
K (0.653, 0.125, 0.250)
K (0.375, 0.347, 0.750)
Rb (0.500, 0.500, 0.000)
Rb (0.250, 0.750, 0.500)
Tc (0.000, 0.000, 0.000)
Tc (0.750, 0.250, 0.500)

Computed properties:
V = 50.9 A^3/atom
calculated total energy = -2.08 eV per atom
DFT formation energy = 5.2 eV per formula unit
calculated density = 2.13 g cm⁻³
offset from the most stable computed form = 8.95 kJ/mol of atoms
DOS at the Fermi energy = 1.637 states/eV/atom

=====

No. 5
VASP calculation (PBE-GGA) on K2Rb2Tc after structural relaxation.

a = 5.470 Å, b = 5.470 Å, c = 11.687 Å
α = 76.47°, β = 76.47°, γ = 90.00°
Sites, in units of the cell vectors:
K (0.420, 0.420, 0.160)
K (0.580, 0.580, 0.840)
Rb (0.750, 0.250, 0.500)
Rb (0.250, 0.750, 0.500)
Tc (0.000, 0.000, 0.000)

Computed properties:
V = 66.0 A^3/atom
calculated total energy = -1.69 eV per atom
DFT formation energy = 6.0 eV per formula unit
calculated density = 1.75 g cm⁻³
offset from the most stable computed form = 18.57 kJ/mol of atoms
DOS at the Fermi energy = 1.174 states/eV/atom

=====

No. 6
VASP calculation (PBE-GGA) on K2Rb2Tc after structural relaxation.

a = 9.229 Å, b = 9.229 Å, c = 7.088 Å
α = 90.00°, β = 90.00°, γ = 90.00°
Sites, in units of the cell vectors:
Rb (0.687, 0.813, 0.500)
Rb (0.313, 0.187, 0.500)
Rb (0.187, 0.687, 0.500)
Rb (0.813, 0.313, 0.500)
K (0.655, 0.155, 0.000)
K (0.345, 0.845, 0.000)
K (0.155, 0.345, 0.000)
K (0.845, 0.655, 0.000)
Tc (0.500, 0.500, 0.000)
Tc (0.000, 0.000, 0.000)

Computed properties:
V = 60.4 A^3/atom
calculated total energy = -1.89 eV per atom
DFT formation energy = 5.1 eV per formula unit
calculated density = 1.91 g cm⁻³
offset from the most stable computed form = 0.00 kJ/mol of atoms
DOS at the Fermi energy = 1.224 states/eV/atom